Crystalline LaBeTl2Br at its relaxed geometry. Source: the Alexandria database, functional PBE. Values from VASP.

Properties
**Volume**: 38.20 Å³/atom
**D(E_F)**: 3.8 states/eV/cell
**SG**: P4/mmm, No. 123
**Electronic total energy**: -2.504 eV/atom
**Uncorrected formation energy**: 508 meV/atom
**Crystal system**: tetragonal

The structure in Quantum ESPRESSO input format:
```
&SYSTEM
  ibrav = 0, nat = 5, ntyp = 4
/
ATOMIC_SPECIES
La 138.91 La.upf
Be 9.01 Be.upf
Tl 204.38 Tl.upf
Br 79.90 Br.upf
CELL_PARAMETERS angstrom
5.7957 0.0000 0.0000
0.0000 5.7957 0.0000
0.0000 0.0000 5.6858
ATOMIC_POSITIONS angstrom
La 0.0000 0.0000 0.0000
Be 2.8978 2.8978 0.0000
Tl 0.0000 2.8978 2.8429
Tl 2.8978 0.0000 2.8429
Br 0.0000 0.0000 2.8429
```